Record 1
Below is an optimized crystal structure of PuTlHg, with properties calculated at the GGA-PBE level.

Computed properties:
Symmetry = F-43m
E above lowest polymorph = 0 meV/atom
E = -16.36 eV per cell

a = 5.0730 Å, b = 5.0730 Å, c = 5.0730 Å
α = 60.00°, β = 60.00°, γ = 60.00°
Element x y z (fractional)
Tl 0.0000 0.0000 0.0000
Hg 0.2500 0.2500 0.2500
Pu 0.7500 0.7500 0.7500

Record 2
Below is an optimized crystal structure of CuAg4, with properties calculated at the GGA-PBE level.

Computed properties:
Formation energy = 60 meV per atom
Symmetry = C2/c
E above lowest polymorph = 35 meV/atom
E = -29.43 eV per cell

a = 7.6060 Å, b = 7.6060 Å, c = 4.9928 Å
α = 96.21°, β = 96.21°, γ = 141.74°
Element x y z (fractional)
Cu 0.3501 0.6499 0.7500
Ag 0.5500 0.4500 0.7500
Cu 0.6499 0.3501 0.2500
Ag 0.7496 0.2504 0.7500
Ag 0.9470 0.0530 0.7500
Ag 0.0530 0.9470 0.2500
Ag 0.2504 0.7496 0.2500
Ag 0.8468 0.1532 0.2500
Ag 0.1532 0.8468 0.7500
Ag 0.4500 0.5500 0.2500

Record 3
Below is an optimized crystal structure of Ta4InCoC2, with properties calculated at the GGA-PBE level.

Computed properties:
Symmetry = P-6m2
E = -78.46 eV per cell

a = 3.1175 Å, b = 3.1175 Å, c = 13.7468 Å
α = 90.00°, β = 90.00°, γ = 120.00°
Each line ends with the local moment (μB).
Element x y z (fractional)
Ta 0.0000 0.0000 0.1774  0.00
C 0.6667 0.3333 0.2682  0.00
In 0.3333 0.6667 0.0000  0.00
Ta 0.3333 0.6667 0.3603  -0.01
Ta 0.3333 0.6667 0.6397  -0.01
Ta 0.0000 0.0000 0.8226  0.00
Co 0.0000 0.0000 0.5000  0.52
C 0.6667 0.3333 0.7318  0.00

One value per record, in order, for mass density: 11.674, 9.738, 13.226 Mg/m³.